The following is a PBE calculation of a relaxed structure of TcPtRh2, from Alexandria via LeMat-Bulk.

a b c (Å): 4.390 4.390 4.390
angles (deg): 60.00 60.00 60.00
Last column: magnetic moment on the atom in μB.
Sites, in units of the cell vectors:
Rh 0.250 0.250 0.250  0.28
Rh 0.750 0.750 0.750  0.28
Tc 0.000 0.000 0.000  0.67
Pt 0.500 0.500 0.500  -0.07

Computed properties:
- Fermi-level density of states (states/eV/f.u.) = 4.54
- ΔE to the lowest computed polymorph (meV/atom) = 381